Compound: MnIn4BiO8
Source: Alexandria
Functional: PBE+U
Structure: optimized geometry

a = 6.6415 Å, b = 6.6415 Å, c = 6.6415 Å
α = 60.16°, β = 60.16°, γ = 60.16°
Last column: nearest neighbours and their distance in Å.
Atoms (fractional coordinates):
1 Mn 0.0000 0.0000 0.0000  6 O 2.23-2.27
2 In 0.0004 0.0004 0.4961  6 O 2.22-2.25
3 In 0.0004 0.4961 0.0004  6 O 2.22-2.25
4 In 0.3770 0.3770 0.3770  4 O 2.20-2.23
5 In 0.4961 0.0004 0.0004  6 O 2.22-2.25
6 Bi 0.6218 0.6218 0.6218  4 O 2.27-2.31
7 O 0.2041 0.7634 0.7634  2 In 2.22, 1 Mn 2.23, 1 Bi 2.27
8 O 0.2398 0.2398 0.2398  4 In 2.23-2.25
9 O 0.2406 0.2406 0.7825  3 In 2.20-2.23, 1 Mn 2.27
10 O 0.2406 0.7825 0.2406  3 In 2.20-2.23, 1 Mn 2.27
11 O 0.7634 0.2041 0.7634  2 In 2.22, 1 Mn 2.23, 1 Bi 2.27
12 O 0.7634 0.7634 0.2041  2 In 2.22, 1 Mn 2.23, 1 Bi 2.27
13 O 0.7640 0.7640 0.7640  3 In 2.23, 1 Bi 2.31
14 O 0.7825 0.2406 0.2406  3 In 2.20-2.23, 1 Mn 2.27

Calculated values
Magnetization = 0.35 μB/atom
Raw total energy = -5.86 eV per atom